{
  "formula": "Y2CrSb",
  "functional": "PBE",
  "state": "relaxed",
  "volume_a3_per_cell": 93,
  "e_form_raw_ev_per_fu": 0.3,
  "lattice_angstrom": [[-3.213, -3.920, -0.312], [-1.579, -2.332, 4.226], [-4.808, 0.529, 1.546]],
  "species": ["Cr", "Sb", "Y", "Y"],
  "fractional_positions": [[0.500, 0.500, 0.500], [0.750, 0.750, 0.750], [0.000, 0.000, 0.000], [0.250, 0.250, 0.250]]
}